An optimized crystal structure of ErPPdO. Source: OQMD, functional GGA-PBE.

a = 4.720 Å, b = 4.467 Å, c = 5.882 Å
α = 90.00°, β = 90.00°, γ = 90.00°
Space group Pmc2_1 (No. 26)
Inequivalent atoms, fractional coordinates:
Er1 0.000 0.202 0.000 (multiplicity 2)
P1 0.500 0.120 0.709 (multiplicity 2)
Pd1 0.500 0.383 0.353 (multiplicity 2)
O1 0.000 0.338 0.357 (multiplicity 2)

Results
magnetic moment	0.00	μB per cell
excess energy over the best structure of this formula in the dataset	378	meV per atom
energy	-6.5265	eV per atom